# 1
## TaPCl2O (PBE)

Data for a relaxed structure of TaPCl2O.

## Properties
The value obtained for the density of states at the Fermi level is 5.743 states/eV/f.u. The magnetization comes out at 0.0 Bohr magnetons per cell. Its energy relative to the elements, uncorrected is 4.53 eV/f.u. As for the space group: No. 123. Its calculated total energy is -0.157 hartree per atom. Its crystal system is tetragonal.

POSCAR file:
```
TaPCl2O
1.0
4.318 0.000 0.000
0.000 4.318 0.000
0.000 0.000 4.163
P Cl O Ta
1 2 1 1
direct
0.000 0.000 0.500 P
0.000 0.500 0.000 Cl
0.500 0.000 0.000 Cl
0.000 0.000 0.000 O
0.500 0.500 0.500 Ta
```


# 2
## TaPCl2O (PBE)

Data for a relaxed structure of TaPCl2O.

## Properties
The value obtained for the density of states at the Fermi level is 8.396 states/eV/f.u. The magnetization comes out at 0.2 Bohr magnetons per cell. Its energy relative to the elements, uncorrected is 1.50 eV/f.u. As for the space group: No. 123. Its calculated total energy is -0.179 hartree per atom. Its crystal system is tetragonal.

POSCAR file:
```
TaPCl2O
1.0
4.739 0.000 0.000
0.000 4.739 0.000
0.000 0.000 4.924
P Cl O Ta
1 2 1 1
direct
0.000 0.000 0.500 P
0.000 0.500 0.000 Cl
0.500 0.000 0.000 Cl
0.500 0.500 0.500 O
0.000 0.000 0.000 Ta
```


# 3
## TcPCl2O (PBE)

Data for a relaxed structure of TcPCl2O.

## Properties
The value obtained for the density of states at the Fermi level is 6.676 states/eV/f.u. The magnetization comes out at 0.7 Bohr magnetons per cell. Its energy relative to the elements, uncorrected is 2.95 eV/f.u. As for the space group: No. 123. Its calculated total energy is -0.158 hartree per atom. Its crystal system is tetragonal.

POSCAR file:
```
TcPCl2O
1.0
-0.557 2.882 -3.801
-3.039 -3.164 -1.953
-3.500 2.074 2.085
P Tc O Cl
1 1 1 2
direct
0.000 0.000 0.500 P
0.000 0.000 0.000 Tc
0.500 0.500 0.500 O
0.000 0.500 0.000 Cl
0.500 0.000 0.000 Cl
```


# 4
## TcPCl2O (PBE)

Data for a relaxed structure of TcPCl2O.

## Properties
The value obtained for the density of states at the Fermi level is 1.770 states/eV/f.u. The magnetization comes out at 4.3 Bohr magnetons per cell. Its energy relative to the elements, uncorrected is 2.94 eV/f.u. As for the space group: No. 123. Its calculated total energy is -0.158 hartree per atom. Its crystal system is tetragonal.

POSCAR file:
```
TcPCl2O
1.0
5.534 0.000 0.000
0.000 5.534 0.000
0.000 0.000 3.315
P Tc O Cl
1 1 1 2
direct
0.000 0.000 0.500 P
0.500 0.500 0.500 Tc
0.000 0.000 0.000 O
0.000 0.500 0.000 Cl
0.500 0.000 0.000 Cl
```


# 5
## TePCl2O (PBE)

Data for a relaxed structure of TePCl2O.

## Properties
The value obtained for the density of states at the Fermi level is 3.277 states/eV/f.u. The magnetization comes out at 0.0 Bohr magnetons per cell. Its energy relative to the elements, uncorrected is 3.13 eV/f.u. As for the space group: No. 123. Its calculated total energy is -0.103 hartree per atom. Its crystal system is tetragonal.

POSCAR file:
```
TePCl2O
1.0
-2.976 0.743 3.353
0.812 -4.158 1.643
3.248 1.631 2.521
P Te O Cl
1 1 1 2
direct
0.000 0.000 0.500 P
0.500 0.500 0.500 Te
0.000 0.000 0.000 O
0.000 0.500 0.000 Cl
0.500 0.000 0.000 Cl
```


# 6
## TeP2ClO (PBE)

Data for a relaxed structure of TeP2ClO.

## Properties
The value obtained for the density of states at the Fermi level is 4.427 states/eV/f.u. The magnetization comes out at 1.5 Bohr magnetons per cell. Its energy relative to the elements, uncorrected is 3.52 eV/f.u. As for the space group: No. 123. Its calculated total energy is -0.127 hartree per atom. Its crystal system is tetragonal.

POSCAR file:
```
TeP2ClO
1.0
5.272 0.000 0.000
0.000 5.272 0.000
0.000 0.000 4.011
P Te O Cl
2 1 1 1
direct
0.000 0.500 0.000 P
0.500 0.000 0.000 P
0.000 0.000 0.000 Te
0.000 0.000 0.500 O
0.500 0.500 0.500 Cl
```


# 7
## TePCl2O (PBE)

Data for a relaxed structure of TePCl2O.

## Properties
The value obtained for the density of states at the Fermi level is 6.717 states/eV/f.u. The magnetization comes out at 0.2 Bohr magnetons per cell. Its energy relative to the elements, uncorrected is 4.12 eV/f.u. As for the space group: No. 123. Its calculated total energy is -0.096 hartree per atom. Its crystal system is tetragonal.

POSCAR file:
```
TePCl2O
1.0
-4.252 -0.777 -2.954
1.942 -4.596 -1.586
-2.490 -2.516 4.245
P Te O Cl
1 1 1 2
direct
0.000 0.000 0.500 P
0.000 0.000 0.000 Te
0.500 0.500 0.500 O
0.000 0.500 0.000 Cl
0.500 0.000 0.000 Cl
```


# 8
## TeP2ClO (PBE)

Data for a relaxed structure of TeP2ClO.

## Properties
The value obtained for the density of states at the Fermi level is 7.637 states/eV/f.u. The magnetization comes out at 2.1 Bohr magnetons per cell. Its energy relative to the elements, uncorrected is 7.28 eV/f.u. As for the space group: No. 123. Its calculated total energy is -0.099 hartree per atom. Its crystal system is tetragonal.

POSCAR file:
```
TeP2ClO
1.0
-4.658 2.285 -0.052
-1.213 -2.572 -4.340
-1.942 -3.892 2.850
P Te O Cl
2 1 1 1
direct
0.000 0.500 0.000 P
0.500 0.000 0.000 P
0.000 0.000 0.000 Te
0.500 0.500 0.500 O
0.000 0.000 0.500 Cl
```